(1)
Material: PmZn4Au4
Method: DFT, PBE
State: relaxed

## Properties
- DFT formation energy (eV/atom) = -0.36
- space-group type = No. 137
- DFT total energy (eV per cell) = -52.32

```
data_PmZn4Au4
_space_group_name_H-M_alt 'P 1'
_space_group_IT_number 1
_cell_length_a 6.016
_cell_length_b 6.016
_cell_length_c 9.315
_cell_angle_alpha 90.00
_cell_angle_beta 90.00
_cell_angle_gamma 90.00
loop_
_space_group_symop_operation_xyz
'x,y,z'
loop_
_atom_site_label
_atom_site_fract_x
_atom_site_fract_y
_atom_site_fract_z
Zn1 0.000 0.283 0.423
Au1 0.000 0.266 0.711
Zn2 0.000 0.717 0.423
Au2 0.766 0.500 0.211
Au3 0.500 0.234 0.789
Zn3 0.217 0.500 0.923
Au4 0.000 0.734 0.711
Zn4 0.500 0.217 0.077
Au5 0.500 0.766 0.789
Pm1 0.000 0.000 0.000
Zn5 0.500 0.783 0.077
Au6 0.234 0.500 0.211
Au7 0.734 0.000 0.289
Zn6 0.717 0.000 0.577
Pm2 0.500 0.500 0.500
Au8 0.266 0.000 0.289
Zn7 0.283 0.000 0.577
Zn8 0.783 0.500 0.923
```

---

(2)
Material: PmZnAu
Method: DFT, PBE
State: relaxed

## Properties
- DFT formation energy (eV/atom) = -0.64
- distance to the lowest polymorph of the same formula (eV per atom) = 0.010
- space-group type = No. 187
- DFT total energy (eV per cell) = -11.23

```
data_PmZnAu
_space_group_name_H-M_alt 'P 1'
_space_group_IT_number 1
_cell_length_a 3.674
_cell_length_b 4.587
_cell_length_c 4.587
_cell_angle_alpha 120.00
_cell_angle_beta 90.00
_cell_angle_gamma 90.00
loop_
_space_group_symop_operation_xyz
'x,y,z'
loop_
_atom_site_label
_atom_site_fract_x
_atom_site_fract_y
_atom_site_fract_z
Au1 0.167 0.000 0.000
Zn1 0.167 0.667 0.333
Pm1 0.666 0.333 0.667
```

---

(3)
Material: Pm5ZnAu4
Method: DFT, PBE
State: relaxed

## Properties
- DFT formation energy (eV/atom) = -0.70
- space-group type = No. 123
- DFT total energy (eV per cell) = -45.10

```
data_Pm5ZnAu4
_space_group_name_H-M_alt 'P 1'
_space_group_IT_number 1
_cell_length_a 3.684
_cell_length_b 3.684
_cell_length_c 18.439
_cell_angle_alpha 90.00
_cell_angle_beta 90.00
_cell_angle_gamma 90.00
loop_
_space_group_symop_operation_xyz
'x,y,z'
loop_
_atom_site_label
_atom_site_fract_x
_atom_site_fract_y
_atom_site_fract_z
Pm1 0.500 0.500 0.098
Au1 0.000 0.000 0.196
Pm2 0.500 0.500 0.299
Pm3 0.500 0.500 0.500
Au2 0.000 0.000 0.804
Au3 0.000 0.000 0.600
Au4 0.000 0.000 0.400
Pm4 0.500 0.500 0.902
Pm5 0.500 0.500 0.701
Zn1 0.000 0.000 0.000
```

---

(4)
Material: Pm4Zn2Au5
Method: DFT, PBE
State: relaxed

## Properties
- DFT formation energy (eV/atom) = -0.66
- space-group type = No. 10
- DFT total energy (eV per cell) = -45.24

```
data_Pm4Zn2Au5
_space_group_name_H-M_alt 'P 1'
_space_group_IT_number 1
_cell_length_a 3.810
_cell_length_b 7.697
_cell_length_c 8.892
_cell_angle_alpha 87.47
_cell_angle_beta 90.00
_cell_angle_gamma 90.00
loop_
_space_group_symop_operation_xyz
'x,y,z'
loop_
_atom_site_label
_atom_site_fract_x
_atom_site_fract_y
_atom_site_fract_z
Zn1 0.000 0.938 0.378
Zn2 0.000 0.062 0.622
Pm1 0.500 0.282 0.365
Au1 0.000 0.875 0.874
Au2 0.000 0.125 0.126
Au3 0.000 0.399 0.637
Pm2 0.500 0.222 0.869
Pm3 0.500 0.718 0.635
Au4 0.000 0.500 0.000
Au5 0.000 0.601 0.363
Pm4 0.500 0.778 0.131
```

---

(5)
Material: Pm3Zn2Au
Method: DFT, PBE
State: relaxed

## Properties
- DFT formation energy (eV/atom) = -0.47
- distance to the lowest polymorph of the same formula (eV per atom) = 0.013
- space-group type = No. 164
- DFT total energy (eV per cell) = -22.88

```
data_Pm3Zn2Au
_space_group_name_H-M_alt 'P 1'
_space_group_IT_number 1
_cell_length_a 5.195
_cell_length_b 5.195
_cell_length_c 6.371
_cell_angle_alpha 90.00
_cell_angle_beta 90.00
_cell_angle_gamma 120.00
loop_
_space_group_symop_operation_xyz
'x,y,z'
loop_
_atom_site_label
_atom_site_fract_x
_atom_site_fract_y
_atom_site_fract_z
Zn1 0.333 0.667 0.649
Au1 0.000 0.000 0.000
Pm1 0.667 0.333 0.838
Pm2 0.000 0.000 0.500
Pm3 0.333 0.667 0.162
Zn2 0.667 0.333 0.351
```

---

(6)
Material: Pm3Zn3Au
Method: DFT, PBE
State: relaxed

## Properties
- DFT formation energy (eV/atom) = -0.43
- space-group type = No. 44
- DFT total energy (eV per cell) = -24.37

```
data_Pm3Zn3Au
_space_group_name_H-M_alt 'P 1'
_space_group_IT_number 1
_cell_length_a 4.537
_cell_length_b 3.685
_cell_length_c 10.401
_cell_angle_alpha 100.20
_cell_angle_beta 102.60
_cell_angle_gamma 90.00
loop_
_space_group_symop_operation_xyz
'x,y,z'
loop_
_atom_site_label
_atom_site_fract_x
_atom_site_fract_y
_atom_site_fract_z
Zn1 0.138 0.638 0.276
Zn2 0.858 0.358 0.717
Pm1 0.309 0.809 0.618
Pm2 0.692 0.192 0.385
Zn3 0.569 0.569 0.137
Pm3 0.998 0.998 0.996
Au1 0.436 0.436 0.871
```

---

Number 1: total magnetic moment 0.00 μB per atom. Number 2: total magnetic moment 0.00 μB per atom. Number 3: total magnetic moment 0.00 μB per atom. Number 4: total magnetic moment 0.00 μB per atom. Number 5: total magnetic moment 0.00 μB per atom. Number 6: total magnetic moment 0.00 μB per atom.